! CsCu3B PBE relaxed; values from VASP
! Calculated formation energy ... 672.4 meV/atom
! Offset from the most stable computed form ... 0.000 eV/f.u.
! Density ... 6.4 g/cm3
! N(E_F) ... 0.5725 states/eV per atom
&SYSTEM
  ibrav = 0, nat = 5, ntyp = 3
/
ATOMIC_SPECIES
Cs 132.91 Cs.upf
B 10.81 B.upf
Cu 63.55 Cu.upf
ATOMIC_POSITIONS crystal
Cs 0.500 0.500 0.500
B 0.000 0.000 0.000
Cu 0.000 0.500 0.000
Cu 0.000 0.000 0.500
Cu 0.500 0.000 0.000
CELL_PARAMETERS angstrom
4.435 0.000 0.000
0.000 4.435 0.000
0.000 0.000 4.435

=====

! La2ScCr PBE relaxed; values from VASP
! Calculated formation energy ... 406.0 meV/atom
! Offset from the most stable computed form ... 0.605 eV/f.u.
! Density ... 5.6 g/cm3
! N(E_F) ... 1.4984 states/eV per atom
&SYSTEM
  ibrav = 0, nat = 4, ntyp = 3
/
ATOMIC_SPECIES
Cr 52.00 Cr.upf
La 138.91 La.upf
Sc 44.96 Sc.upf
ATOMIC_POSITIONS crystal
Cr 0.755 0.755 0.755
La 0.013 0.013 0.013
La 0.246 0.246 0.246
Sc 0.486 0.486 0.486
CELL_PARAMETERS angstrom
-8.982 -1.860 -5.394
-9.152 -4.487 -3.057
-10.333 -1.285 -2.195